Computed, not measured: an optimized crystal structure of Ca2Ga3GePd4 at the PBE level of DFT.

The calculation puts the final energy at -4.56 eV/atom. The spin magnetization is 0.0 μB per formula unit. The value obtained for the formation energy is -0.7149 eV/atom.

The structure belongs to space group P-4m2 (No. 115); the cell edges are 4.379, 4.379 and 10.122 Å and the angles 90.00°, 90.00° and 90.00°. The distinct sites, in fractional coordinates, are Ca at (0.000, 0.500, 0.249), Ga at (0.000, 0.500, 0.875), Ga at (0.500, 0.500, 0.500), Ge at (0.000, 0.000, 0.500), Pd at (0.000, 0.000, 0.000), Pd at (0.000, 0.500, 0.630) and Pd at (0.500, 0.500, 0.000).